A | First-principles (PBE) data for Al2TlSi after structural relaxation, as listed in Alexandria via LeMat-Bulk.

Cell lengths 5.073, 5.073, 5.073 Å; angles 127.50, 127.50, 77.43 degrees
Fractional coordinates of all 4 atoms:
Al1 0.250 0.750 0.500
Al2 0.750 0.250 0.500
Tl1 0.000 0.000 0.000
Si1 0.500 0.500 0.000

B | First-principles (PBE) data for Al2TlSi after structural relaxation, as listed in Alexandria via LeMat-Bulk.

Cell lengths 3.145, 3.680, 7.212 Å; angles 90.00, 90.00, 90.00 degrees
Fractional coordinates of all 4 atoms:
Al1 0.000 0.000 0.000
Al2 0.500 0.500 0.214
Tl1 0.500 0.500 0.701
Si1 0.000 0.000 0.366

C | First-principles (PBE) data for Al2TlSi after structural relaxation, as listed in Alexandria via LeMat-Bulk.

Cell lengths 6.059, 6.059, 6.059 Å; angles 151.07, 130.26, 58.57 degrees
Fractional coordinates of all 4 atoms:
Al1 0.213 0.213 0.000
Al2 0.787 0.787 0.000
Tl1 0.500 0.000 0.500
Si1 0.000 0.500 0.500

In eV/atom, relative to the most stable structure: A 0.166; B 0.000; C 0.099.

A | First-principles (PBE) data for Al2TlSi2 after structural relaxation, as listed in Alexandria via LeMat-Bulk.

Cell lengths 6.395, 6.395, 6.395 Å; angles 141.07, 141.07, 56.23 degrees
Fractional coordinates of all 5 atoms:
Al1 0.117 0.117 0.000
Al2 0.883 0.883 0.000
Tl1 0.500 0.500 0.000
Si1 0.250 0.750 0.500
Si2 0.750 0.250 0.500

B | First-principles (PBE) data for Al2TlSi2 after structural relaxation, as listed in Alexandria via LeMat-Bulk.

Cell lengths 7.907, 7.907, 2.998 Å; angles 90.00, 90.00, 90.00 degrees
Fractional coordinates of all 10 atoms:
Al1 0.139 0.361 0.000
Al2 0.361 0.861 0.000
Al3 0.639 0.139 0.000
Al4 0.861 0.639 0.000
Tl1 0.000 0.000 0.500
Tl2 0.500 0.500 0.500
Si1 0.150 0.650 0.500
Si2 0.350 0.150 0.500
Si3 0.650 0.850 0.500
Si4 0.850 0.350 0.500

In eV/atom, relative to the most stable structure: A 0.000; B 0.033.